# 1
! Sr2LiFe | Alexandria via LeMat-Bulk | meta-GGA SCAN | PBEsol geometry; values from VASP
&SYSTEM
  ibrav = 0, nat = 4, ntyp = 3
/
ATOMIC_SPECIES
Sr 87.62 Sr.upf
Li 6.94 Li.upf
Fe 55.84 Fe.upf
CELL_PARAMETERS angstrom
3.712 0.000 0.021
0.000 3.713 0.000
-0.047 0.000 8.703
ATOMIC_POSITIONS crystal
Sr 0.999 0.000 0.711
Sr 0.001 0.000 0.289
Li 0.500 0.500 0.000
Fe 0.500 0.500 0.500
! energy above the lowest structure with this stoichiometry = 0.000 eV/atom
! energy of formation = 0.38 eV per atom

=====

# 2
! SrLiFe3 | Alexandria via LeMat-Bulk | meta-GGA SCAN | PBEsol geometry; values from VASP
&SYSTEM
  ibrav = 0, nat = 5, ntyp = 3
/
ATOMIC_SPECIES
Fe 55.84 Fe.upf
Sr 87.62 Sr.upf
Li 6.94 Li.upf
CELL_PARAMETERS angstrom
4.814 0.000 0.000
0.000 4.814 0.000
0.000 0.000 4.814
ATOMIC_POSITIONS crystal
Fe 0.000 0.500 0.000
Fe 0.000 0.000 0.500
Fe 0.500 0.000 0.000
Sr 0.000 0.000 0.000
Li 0.500 0.500 0.500
! energy of formation = 2.19 eV per atom